RbFe6F12: relaxed, PBE+U.

Structure (POSCAR):
```
RbFe6F12
1.0
5.358 3.094 2.590
-5.358 3.094 2.590
0.000 -6.187 2.590
Rb Fe F
1 6 12
Cartesian
0.000 0.000 0.000
0.000 -2.387 2.856
-2.067 1.194 2.856
-2.067 -1.194 4.914
2.067 1.194 2.856
2.068 -1.194 4.914
0.000 2.387 4.914
-2.045 -3.541 3.885
-4.089 0.000 3.885
-1.492 -0.861 2.905
1.492 -0.861 2.905
0.000 1.723 2.905
2.045 -3.541 3.885
-2.045 3.541 3.885
0.000 -1.723 4.865
-1.492 0.861 4.865
1.492 0.861 4.865
4.089 0.000 3.885
2.045 3.541 3.885
```

energy: -5.185 eV per atom